Here is a relaxed structure of HfNiTe2Os from the Alexandria database. Energies are from PBE.

Summary:
Size of the total moment: 0.4 μB/f.u.
ΔE to the lowest computed polymorph: 52.3 kJ/mol of formula units
Formation energy without anion corrections: 1.059 eV per atom
Theoretical density: 8.54 Mg/m³

Cell and atoms, written as POSCAR:
```
HfNiTe2Os
1.0
-4.3267 2.8045 -0.3516
-2.5968 -4.1981 -1.5305
-1.0736 -1.0625 4.7360
Hf Te Os Ni
1 2 1 1
direct
0.0000 0.0000 0.5000
0.0000 0.5000 0.0000
0.5000 0.0000 0.0000
0.0000 0.0000 0.0000
0.5000 0.5000 0.5000
```